Here is crystalline NbCrS at its relaxed geometry from the Alexandria database. Energies are from GGA-PBE.

Geometry as POSCAR:
```
NbCrS
1.0
3.2288 0.0000 0.0000
0.0000 3.2288 0.0000
0.0000 0.0000 9.8932
Nb Cr S
2 2 2
direct
0.2500 0.2500 0.0838
0.7500 0.7500 0.9162
0.2500 0.2500 0.7458
0.7500 0.7500 0.2542
0.2500 0.2500 0.3421
0.7500 0.7500 0.6579
```

## Properties
The value obtained for the calculated density is 5.70 g cm⁻³. The calculation puts the electronic total energy at -8.207 eV/atom. The calculation puts the total magnetization at 0.65 μB/atom. The calculation puts the formation energy from raw total energies at -0.267 eV/atom. The density of states at the Fermi level comes out at 3.75 states/eV/f.u.

---

Here is crystalline La3TbPm2 at its relaxed geometry from the Alexandria database. Energies are from GGA-PBE.

Geometry as POSCAR:
```
La3TbPm2
1.0
-5.6742 5.9894 3.5326
5.6742 -5.9894 3.5326
5.6742 5.9894 -3.5326
La Tb Pm
6 2 4
direct
0.0132 0.7500 0.2632
0.2500 0.2500 0.0000
0.4868 0.7500 0.7368
0.5132 0.2500 0.2632
0.7500 0.7500 0.0000
0.9868 0.2500 0.7368
0.0000 0.5000 0.5000
0.5000 0.0000 0.5000
0.2035 0.2466 0.4501
0.2965 0.7466 0.0431
0.7035 0.2534 0.9569
0.7965 0.7534 0.5499
```

## Properties
The value obtained for the calculated density is 5.99 g cm⁻³. For the formation energy from the elements, the calculation gives 0.528 eV/atom. The calculation puts the electronic total energy at -4.291 eV/atom. The calculation puts the total magnetization at 0.00 μB/atom. The density of states at the Fermi level comes out at 10.29 states/eV/f.u.

---

Here is crystalline RbNi2HgB at its relaxed geometry from the Alexandria database. Energies are from GGA-PBE.

Geometry as POSCAR:
```
RbNi2HgB
1.0
4.1229 0.0000 0.0000
0.0000 4.1229 0.0000
0.0000 0.0000 5.8948
Rb Ni Hg B
1 2 1 1
direct
0.0000 0.0000 0.0000
0.0000 0.5000 0.5000
0.5000 0.0000 0.5000
0.5000 0.5000 0.0000
0.0000 0.0000 0.5000
```

## Properties
The value obtained for the calculated density is 6.86 g cm⁻³. For the formation energy from the elements, the calculation gives 0.681 eV/atom. The calculation puts the electronic total energy at -3.221 eV/atom. The calculation puts the total magnetization at 0.00 μB/atom. The density of states at the Fermi level comes out at 0.99 states/eV/f.u.

---

Here is crystalline CaHg at its relaxed geometry from the Alexandria database. Energies are from GGA-PBE.

Geometry as POSCAR:
```
CaHg
1.0
-6.4382 6.4382 2.1593
6.4382 -6.4382 2.1593
6.4382 6.4382 -2.1593
Ca Hg
4 4
direct
0.0584 0.3277 0.3861
0.3277 0.9416 0.2692
0.6723 0.0584 0.7308
0.9416 0.6723 0.6139
0.1732 0.7327 0.9059
0.2673 0.1732 0.4405
0.7327 0.8268 0.5595
0.8268 0.2673 0.0941
```

## Properties
The value obtained for the calculated density is 4.47 g cm⁻³. For the formation energy from the elements, the calculation gives -0.126 eV/atom. The calculation puts the electronic total energy at -1.278 eV/atom. The calculation puts the total magnetization at 0.00 μB/atom. The density of states at the Fermi level comes out at 1.29 states/eV/f.u.

---

Here is crystalline BaBe2Tl at its relaxed geometry from the Alexandria database. Energies are from GGA-PBE.

Geometry as POSCAR:
```
BaBe2Tl
1.0
0.0000 3.6543 3.6543
3.6543 0.0000 3.6543
3.6543 3.6543 0.0000
Ba Be Tl
1 2 1
direct
0.0000 0.0000 0.0000
0.5000 0.5000 0.5000
0.7500 0.7500 0.7500
0.2500 0.2500 0.2500
```

## Properties
The value obtained for the calculated density is 6.12 g cm⁻³. For the formation energy from the elements, the calculation gives 0.699 eV/atom. The calculation puts the electronic total energy at -2.236 eV/atom. The calculation puts the total magnetization at 0.00 μB/atom. The density of states at the Fermi level comes out at 1.70 states/eV/f.u.

---

Here is crystalline Na2ZnSbI at its relaxed geometry from the Alexandria database. Energies are from GGA-PBE.

Geometry as POSCAR:
```
Na2ZnSbI
1.0
6.1455 0.0000 0.0000
0.0000 6.1455 0.0000
0.0000 0.0000 4.8342
Na Zn Sb I
2 1 1 1
direct
0.0000 0.5000 0.0000
0.5000 0.0000 0.0000
0.0000 0.0000 0.0000
0.0000 0.0000 0.5000
0.5000 0.5000 0.5000
```

## Properties
The value obtained for the calculated density is 3.27 g cm⁻³. The calculation puts the electronic total energy at -2.114 eV/atom. The calculation puts the total magnetization at 0.00 μB/atom. The calculation puts the formation energy from raw total energies at -0.197 eV/atom. The density of states at the Fermi level comes out at 1.89 states/eV/f.u.

---

Here is crystalline NpVGa at its relaxed geometry from the Alexandria database. Energies are from GGA-PBE.

Geometry as POSCAR:
```
NpVGa
1.0
0.0000 5.3428 5.9927
3.5732 0.0000 5.9927
3.5732 5.3428 0.0000
Np V Ga
4 4 4
direct
0.0132 0.2368 0.0132
0.2368 0.0132 0.2368
0.7632 0.9868 0.7632
0.9868 0.7632 0.9868
0.0818 0.0818 0.6682
0.3318 0.3318 0.9182
0.6682 0.6682 0.0818
0.9182 0.9182 0.3318
0.0000 0.5000 0.5000
0.5000 0.0000 0.5000
0.5000 0.5000 0.0000
0.5000 0.5000 0.5000
```

## Properties
The value obtained for the calculated density is 10.38 g cm⁻³. For the formation energy from the elements, the calculation gives 0.522 eV/atom. The calculation puts the electronic total energy at -7.840 eV/atom. The calculation puts the total magnetization at 0.00 μB/atom. The density of states at the Fermi level comes out at 4.09 states/eV/f.u.

---

Here is crystalline LaTmMgZn at its relaxed geometry from the Alexandria database. Energies are from GGA-PBE.

Geometry as POSCAR:
```
LaTmMgZn
1.0
3.6365 0.0000 0.0000
0.0000 3.6365 0.0000
0.0000 0.0000 7.9835
La Tm Mg Zn
1 1 1 1
direct
0.0000 0.0000 0.0000
0.0000 0.0000 0.5520
0.5000 0.5000 0.2956
0.5000 0.5000 0.7442
```

## Properties
The value obtained for the calculated density is 6.25 g cm⁻³. For the formation energy from the elements, the calculation gives -0.203 eV/atom. The calculation puts the electronic total energy at -3.270 eV/atom. The calculation puts the total magnetization at 0.00 μB/atom. The density of states at the Fermi level comes out at 4.51 states/eV/f.u.